Here is a crystal of AuSN2 relaxed with PBEsol from Alexandria. Energies are from meta-GGA SCAN.

a = 6.279 Å, b = 6.279 Å, c = 6.279 Å
α = 26.77°, β = 26.77°, γ = 26.77°
Sites, in units of the cell vectors:
1 Au 0.000 0.000 0.000
2 S 0.500 0.500 0.500
3 N 0.112 0.112 0.112
4 N 0.888 0.888 0.888

Computed properties:
energy	-23.15	eV/atom
total magnetization	0.00	μB per cell
ΔE_f (raw)	1.1899	eV per atom
calculated volume	11.1	A^3/atom

---

Here is a crystal of AuS2N relaxed with PBEsol from Alexandria. Energies are from meta-GGA SCAN.

a = 6.400 Å, b = 6.400 Å, c = 6.400 Å
α = 134.56°, β = 134.56°, γ = 66.22°
Sites, in units of the cell vectors:
1 Au 0.000 0.000 0.000
2 Au 0.750 0.250 0.500
3 S 0.208 0.625 0.083
4 S 0.375 0.458 0.583
5 S 0.542 0.125 0.917
6 S 0.875 0.792 0.417
7 N 0.250 0.750 0.500
8 N 0.500 0.500 0.000

Computed properties:
energy	-23.37	eV/atom
total magnetization	0.00	μB per cell
ΔE_f (raw)	1.0550	eV per atom
calculated volume	16.4	A^3/atom

---

Here is a crystal of SbAuS2N relaxed with PBEsol from Alexandria. Energies are from meta-GGA SCAN.

a = 4.946 Å, b = 4.946 Å, c = 3.759 Å
α = 90.00°, β = 90.00°, γ = 90.00°
Sites, in units of the cell vectors:
1 Sb 0.000 0.000 0.000
2 Au 0.500 0.500 0.500
3 S 0.000 0.500 0.500
4 S 0.500 0.000 0.500
5 N 0.500 0.500 0.000

Computed properties:
energy	-26.04	eV/atom
total magnetization	0.00	μB per cell
ΔE_f (raw)	0.9490	eV per atom
calculated volume	18.4	A^3/atom

---

Here is a crystal of AuSe2SN relaxed with PBEsol from Alexandria. Energies are from meta-GGA SCAN.

a = 5.082 Å, b = 5.082 Å, c = 3.221 Å
α = 90.00°, β = 90.00°, γ = 90.00°
Sites, in units of the cell vectors:
1 Au 0.000 0.000 0.000
2 Se 0.000 0.500 0.500
3 Se 0.500 0.000 0.500
4 S 0.500 0.500 0.500
5 N 0.500 0.500 0.000

Computed properties:
energy	-24.60	eV/atom
total magnetization	0.00	μB per cell
ΔE_f (raw)	1.0450	eV per atom
calculated volume	16.6	A^3/atom

---

Here is a crystal of AuSeS2N relaxed with PBEsol from Alexandria. Energies are from meta-GGA SCAN.

a = 4.925 Å, b = 4.925 Å, c = 3.696 Å
α = 90.00°, β = 90.00°, γ = 90.00°
Sites, in units of the cell vectors:
1 Au 0.000 0.000 0.000
2 Se 0.500 0.500 0.500
3 S 0.000 0.500 0.000
4 S 0.500 0.000 0.000
5 N 0.000 0.000 0.500

Computed properties:
energy	-22.22	eV/atom
total magnetization	0.00	μB per cell
ΔE_f (raw)	1.3350	eV per atom
calculated volume	17.9	A^3/atom

---

Here is a crystal of SiAuSN2 relaxed with PBEsol from Alexandria. Energies are from meta-GGA SCAN.

a = 3.927 Å, b = 3.927 Å, c = 5.072 Å
α = 90.00°, β = 90.00°, γ = 90.00°
Sites, in units of the cell vectors:
1 Si 0.000 0.000 0.000
2 Au 0.500 0.500 0.500
3 S 0.500 0.500 0.000
4 N 0.000 0.500 0.500
5 N 0.500 0.000 0.500

Computed properties:
energy	-19.72	eV/atom
total magnetization	2.64	μB per cell
ΔE_f (raw)	1.7575	eV per atom
calculated volume	15.6	A^3/atom

---

Here is a crystal of SrAu2SN relaxed with PBEsol from Alexandria. Energies are from meta-GGA SCAN.

a = 4.096 Å, b = 4.096 Å, c = 6.149 Å
α = 90.00°, β = 90.00°, γ = 90.00°
Sites, in units of the cell vectors:
1 Sr 0.000 0.000 0.000
2 Au 0.000 0.500 0.500
3 Au 0.500 0.000 0.500
4 S 0.500 0.500 0.000
5 N 0.500 0.500 0.500

Computed properties:
energy	-36.12	eV/atom
total magnetization	0.87	μB per cell
ΔE_f (raw)	-0.2211	eV per atom
calculated volume	20.6	A^3/atom

---

Here is a crystal of ZnAuS2N relaxed with PBEsol from Alexandria. Energies are from meta-GGA SCAN.

a = 4.957 Å, b = 4.957 Å, c = 3.680 Å
α = 90.00°, β = 90.00°, γ = 90.00°
Sites, in units of the cell vectors:
1 Zn 0.000 0.000 0.000
2 Au 0.500 0.500 0.500
3 S 0.000 0.500 0.500
4 S 0.500 0.000 0.500
5 N 0.500 0.500 0.000

Computed properties:
energy	-21.16	eV/atom
total magnetization	0.00	μB per cell
ΔE_f (raw)	1.0871	eV per atom
calculated volume	18.1	A^3/atom

---

Here is a crystal of Sc2AuN relaxed with PBEsol from Alexandria. Energies are from meta-GGA SCAN.

a = 4.469 Å, b = 4.469 Å, c = 4.469 Å
α = 60.00°, β = 60.00°, γ = 60.00°
Sites, in units of the cell vectors:
1 Sc 0.250 0.250 0.250
2 Sc 0.750 0.750 0.750
3 Au 0.000 0.000 0.000
4 N 0.500 0.500 0.500

Computed properties:
energy	-27.06	eV/atom
total magnetization	0.78	μB per cell
ΔE_f (raw)	-0.3300	eV per atom
calculated volume	15.8	A^3/atom

---

Here is a crystal of AuSeN3 relaxed with PBEsol from Alexandria. Energies are from meta-GGA SCAN.

a = 3.822 Å, b = 3.822 Å, c = 3.822 Å
α = 90.00°, β = 90.00°, γ = 90.00°
Sites, in units of the cell vectors:
1 Au 0.000 0.000 0.000
2 Se 0.500 0.500 0.500
3 N 0.000 0.500 0.500
4 N 0.500 0.000 0.500
5 N 0.500 0.500 0.000

Computed properties:
energy	-21.21	eV/atom
total magnetization	3.08	μB per cell
ΔE_f (raw)	2.2155	eV per atom
calculated volume	11.2	A^3/atom

---

Here is a crystal of AuSe2N2 relaxed with PBEsol from Alexandria. Energies are from meta-GGA SCAN.

a = 3.665 Å, b = 3.665 Å, c = 6.026 Å
α = 90.00°, β = 90.00°, γ = 90.00°
Sites, in units of the cell vectors:
1 Au 0.000 0.000 0.000
2 Se 0.500 0.500 0.000
3 Se 0.500 0.500 0.500
4 N 0.000 0.500 0.500
5 N 0.500 0.000 0.500

Computed properties:
energy	-24.08	eV/atom
total magnetization	0.67	μB per cell
ΔE_f (raw)	1.4967	eV per atom
calculated volume	16.2	A^3/atom

---

Here is a crystal of AuSe3N relaxed with PBEsol from Alexandria. Energies are from meta-GGA SCAN.

a = 5.041 Å, b = 5.041 Å, c = 5.041 Å
α = 90.00°, β = 90.00°, γ = 90.00°
Sites, in units of the cell vectors:
1 Au 0.000 0.000 0.000
2 Se 0.000 0.000 0.500
3 Se 0.000 0.500 0.000
4 Se 0.500 0.000 0.000
5 N 0.500 0.500 0.500

Computed properties:
energy	-26.19	eV/atom
total magnetization	0.36	μB per cell
ΔE_f (raw)	1.5432	eV per atom
calculated volume	25.6	A^3/atom

---

The lowest ΔE_f (raw) belongs to which entry? Sc2AuN

---

Which formula does entry 8 have? ZnAuS2N

---

calculated volume of number 1 (AuSN2)? 11.1 A^3/atom